1.
First-principles (PBE) data for a geometry-optimized TmTh2O structure, as listed in the Alexandria database.

Lattice parameters (Å, degrees): 10.0321 10.0321 10.0321 19.94 19.94 19.94
Closest atoms and distances in Å follow each position.
Atoms (fractional coordinates):
Tm (0.0000, 0.0000, 0.0000)  2 Th 3.34, 6 Tm 3.47
Th (0.1132, 0.1132, 0.1132)  3 O 2.55
Th (0.8868, 0.8868, 0.8868)  3 O 2.55
O (0.5000, 0.5000, 0.5000)  6 Th 2.55

Values from the calculation:
Formation energy (no corrections)   -0.93 eV/atom
DOS at the Fermi energy   4.312 states/eV/f.u.


2.
First-principles (PBE) data for a geometry-optimized MgReAsBr2 structure, as listed in the Alexandria database.

Lattice parameters (Å, degrees): 4.9393 4.9393 5.6904 90.00 90.00 90.00
Closest atoms and distances in Å follow each position.
Atoms (fractional coordinates):
Mg (0.0000, 0.0000, 0.0000)  4 Br 2.47
Re (0.5000, 0.5000, 0.5000)  4 As 3.49, 8 Br 3.77
As (0.0000, 0.0000, 0.5000)  2 Mg 2.85
Br (0.0000, 0.5000, 0.0000)  2 Mg 2.47
Br (0.5000, 0.0000, 0.0000)  2 Mg 2.47

Values from the calculation:
Formation energy (no corrections)   0.87 eV/atom
DOS at the Fermi energy   2.301 states/eV/f.u.


3.
First-principles (PBE) data for a geometry-optimized SiSb2RhI structure, as listed in the Alexandria database.

Lattice parameters (Å, degrees): 5.0813 5.0813 5.5543 90.00 90.00 90.00
Closest atoms and distances in Å follow each position.
Atoms (fractional coordinates):
Si (0.0000, 0.0000, 0.0000)  4 I 3.59, 8 Sb 3.76
Sb (0.0000, 0.5000, 0.5000)  2 Rh 2.54
Sb (0.5000, 0.0000, 0.5000)  2 Rh 2.54
Rh (0.5000, 0.5000, 0.5000)  4 Sb 2.54, 2 I 2.78
I (0.5000, 0.5000, 0.0000)  2 Rh 2.78

Values from the calculation:
Formation energy (no corrections)   0.66 eV/atom
DOS at the Fermi energy   4.305 states/eV/f.u.


M_tot values (in μB/cell) by entry order: 0.00; 4.02; 0.00.